PmBC: relaxed, PBE.

## Properties
ρ = 5.509 g/cm³
formation energy = 0.40 eV/f.u.
V = 16.861 Å³/atom
final energy = -6.750 eV/atom
excess energy over the best structure of this formula in the dataset = 488 meV/atom

The structure in CIF format:
```
data_PmBC
_chemical_formula_sum 'Pm2 B2 C2'
_cell_length_a 3.891
_cell_length_b 3.891
_cell_length_c 6.683
_cell_angle_alpha 90.00
_cell_angle_beta 90.00
_cell_angle_gamma 90.00
_space_group_name_H-M_alt 'I 4 m m'
_space_group_IT_number 107
_space_group_name_Hall 'I 4 -2'
loop_
_atom_site_label
_atom_site_type_symbol
_atom_site_fract_x
_atom_site_fract_y
_atom_site_fract_z
Pm1 Pm 0.000 0.000 0.000
B1 B 0.000 0.000 0.593
C1 C 0.000 0.000 0.384
```

***

Pm5B2C4: relaxed, PBE.

## Properties
ρ = 5.913 g/cm³
formation energy = 0.03 eV/f.u.
V = 20.287 Å³/atom
final energy = -6.725 eV/atom

The structure in CIF format:
```
data_Pm5B2C4
_chemical_formula_sum 'Pm10 B4 C8'
_cell_length_a 12.607
_cell_length_b 3.761
_cell_length_c 9.789
_cell_angle_alpha 90.00
_cell_angle_beta 105.94
_cell_angle_gamma 90.00
_space_group_name_H-M_alt 'C 1 2/m 1'
_space_group_IT_number 12
loop_
_space_group_symop_operation_xyz
'x,y,z'
'-x,-y,-z'
'-x,y,-z'
'x,-y,z'
'x+1/2,y+1/2,z'
'-x+1/2,-y+1/2,-z'
'-x+1/2,y+1/2,-z'
'x+1/2,-y+1/2,z'
loop_
_atom_site_label
_atom_site_type_symbol
_atom_site_fract_x
_atom_site_fract_y
_atom_site_fract_z
Pm1 Pm 0.000 0.000 0.000
Pm2 Pm 0.122 0.500 0.397
Pm3 Pm 0.179 0.500 0.783
B1 B 0.058 0.000 0.560
C1 C 0.010 0.500 0.832
C2 C 0.178 0.000 0.607
```

***

Pm2B3C: relaxed, PBE.

## Properties
ρ = 7.548 g/cm³
formation energy = -1.66 eV/f.u.
V = 12.262 Å³/atom
final energy = -6.736 eV/atom
excess energy over the best structure of this formula in the dataset = 16 meV/atom

The structure in CIF format:
```
data_Pm2B3C
_chemical_formula_sum 'Pm2 B3 C1'
_cell_length_a 3.189
_cell_length_b 4.171
_cell_length_c 5.532
_cell_angle_alpha 90.00
_cell_angle_beta 90.00
_cell_angle_gamma 90.00
_space_group_name_H-M_alt 'P m m 2'
_space_group_IT_number 25
loop_
_space_group_symop_operation_xyz
'x,y,z'
'-x,-y,z'
'-x,y,z'
'x,-y,z'
loop_
_atom_site_label
_atom_site_type_symbol
_atom_site_fract_x
_atom_site_fract_y
_atom_site_fract_z
Pm1 Pm 0.000 0.000 0.000
Pm2 Pm 0.500 0.000 0.491
B1 B 0.000 0.500 0.322
B2 B 0.000 0.500 0.669
B3 B 0.500 0.500 0.837
C1 C 0.500 0.500 0.155
```

***

Pm2BC2: relaxed, PBE.

## Properties
ρ = 6.406 g/cm³
formation energy = -1.11 eV/f.u.
V = 16.841 Å³/atom
final energy = -7.147 eV/atom
excess energy over the best structure of this formula in the dataset = 0 meV/atom

The structure in CIF format:
```
data_Pm2BC2
_chemical_formula_sum 'Pm8 B4 C8'
_cell_length_a 10.839
_cell_length_b 5.314
_cell_length_c 6.747
_cell_angle_alpha 90.00
_cell_angle_beta 119.92
_cell_angle_gamma 90.00
_space_group_name_H-M_alt 'C 1 2/m 1'
_space_group_IT_number 12
loop_
_space_group_symop_operation_xyz
'x,y,z'
'-x,-y,-z'
'-x,y,-z'
'x,-y,z'
'x+1/2,y+1/2,z'
'-x+1/2,-y+1/2,-z'
'-x+1/2,y+1/2,-z'
'x+1/2,-y+1/2,z'
loop_
_atom_site_label
_atom_site_type_symbol
_atom_site_fract_x
_atom_site_fract_y
_atom_site_fract_z
Pm1 Pm 0.091 0.000 0.341
Pm2 Pm 0.150 0.500 0.783
B1 B 0.199 0.500 0.252
C1 C 0.110 0.500 0.361
C2 C 0.171 0.000 0.768
```

***

Pm3B4C2: relaxed, PBE.

## Properties
ρ = 6.879 g/cm³
formation energy = -0.47 eV/f.u.
V = 13.472 Å³/atom
final energy = -6.653 eV/atom

The structure in CIF format:
```
data_Pm3B4C2
_chemical_formula_sum 'Pm6 B8 C4'
_cell_length_a 10.095
_cell_length_b 3.104
_cell_length_c 8.787
_cell_angle_alpha 90.00
_cell_angle_beta 118.29
_cell_angle_gamma 90.00
_space_group_name_H-M_alt 'C 1 2/m 1'
_space_group_IT_number 12
loop_
_space_group_symop_operation_xyz
'x,y,z'
'-x,-y,-z'
'-x,y,-z'
'x,-y,z'
'x+1/2,y+1/2,z'
'-x+1/2,-y+1/2,-z'
'-x+1/2,y+1/2,-z'
'x+1/2,-y+1/2,z'
loop_
_atom_site_label
_atom_site_type_symbol
_atom_site_fract_x
_atom_site_fract_y
_atom_site_fract_z
Pm1 Pm 0.000 0.000 0.000
Pm2 Pm 0.130 0.500 0.682
B1 B 0.167 0.000 0.440
B2 B 0.244 0.500 0.021
C1 C 0.166 0.500 0.367
```

***

PmB4C2: relaxed, PBE.

## Properties
ρ = 4.267 g/cm³
formation energy = 1.24 eV/f.u.
V = 11.801 Å³/atom
final energy = -6.953 eV/atom

The structure in CIF format:
```
data_PmB4C2
_chemical_formula_sum 'Pm2 B8 C4'
_cell_length_a 6.091
_cell_length_b 6.091
_cell_length_c 4.453
_cell_angle_alpha 90.00
_cell_angle_beta 90.00
_cell_angle_gamma 90.00
_space_group_name_H-M_alt 'P 42/m n m'
_space_group_IT_number 136
_space_group_name_Hall '-P 4n 2n'
loop_
_atom_site_label
_atom_site_type_symbol
_atom_site_fract_x
_atom_site_fract_y
_atom_site_fract_z
Pm1 Pm 0.000 0.000 0.000
B1 B 0.055 0.382 0.500
C1 C 0.190 0.190 0.500
```

***

Pm2B6C3: relaxed, PBE.

## Properties
ρ = 5.735 g/cm³
formation energy = 6.34 eV/f.u.
V = 10.290 Å³/atom
final energy = -6.446 eV/atom

The structure in CIF format:
```
data_Pm2B6C3
_chemical_formula_sum 'Pm2 B6 C3'
_cell_length_a 5.3098
_cell_length_b 5.3098
_cell_length_c 4.6356
_cell_angle_alpha 90.00
_cell_angle_beta 90.00
_cell_angle_gamma 120.00
_space_group_name_H-M_alt 'P -6 2 m'
_space_group_IT_number 189
_space_group_name_Hall 'P -6 -2'
loop_
_atom_site_label
_atom_site_type_symbol
_atom_site_fract_x
_atom_site_fract_y
_atom_site_fract_z
Pm1 Pm 0.3333 0.6667 0.0000
B1 B 0.0000 0.3322 0.5000
B2 B 0.0000 0.8304 0.0000
C1 C 0.0000 0.6597 0.5000
```

***

PmBC: relaxed, PBE.

## Properties
ρ = 8.062 g/cm³
formation energy = -0.48 eV/f.u.
V = 11.522 Å³/atom
final energy = -7.045 eV/atom
excess energy over the best structure of this formula in the dataset = 193 meV/atom

The structure in CIF format:
```
data_PmBC
_chemical_formula_sum 'Pm1 B1 C1'
_cell_length_a 3.0432
_cell_length_b 3.0432
_cell_length_c 4.3098
_cell_angle_alpha 90.00
_cell_angle_beta 90.00
_cell_angle_gamma 120.00
_space_group_name_H-M_alt 'P -6 m 2'
_space_group_IT_number 187
_space_group_name_Hall 'P -6 2'
loop_
_atom_site_label
_atom_site_type_symbol
_atom_site_fract_x
_atom_site_fract_y
_atom_site_fract_z
Pm1 Pm 0.0000 0.0000 0.0000
B1 B 0.6667 0.3333 0.5000
C1 C 0.3333 0.6667 0.5000
```

***

Pm3BC2: relaxed, PBE.

## Properties
ρ = 6.968 g/cm³
formation energy = -1.13 eV/f.u.
V = 18.661 Å³/atom
final energy = -6.752 eV/atom

The structure in CIF format:
```
data_Pm3BC2
_chemical_formula_sum 'Pm6 B2 C4'
_cell_length_a 5.647
_cell_length_b 10.660
_cell_length_c 3.720
_cell_angle_alpha 90.00
_cell_angle_beta 90.00
_cell_angle_gamma 90.00
_space_group_name_H-M_alt 'P n n m'
_space_group_IT_number 58
loop_
_space_group_symop_operation_xyz
'x,y,z'
'-x,-y,-z'
'-x,-y,z'
'x,y,-z'
'x+1/2,-y+1/2,-z+1/2'
'-x+1/2,y+1/2,z+1/2'
'-x+1/2,y+1/2,-z+1/2'
'x+1/2,-y+1/2,z+1/2'
loop_
_atom_site_label
_atom_site_type_symbol
_atom_site_fract_x
_atom_site_fract_y
_atom_site_fract_z
Pm1 Pm 0.000 0.000 0.000
Pm2 Pm 0.053 0.299 0.500
B1 B 0.000 0.500 0.000
C1 C 0.195 0.594 0.000
```

***

PmB5C2: relaxed, PBE.

## Properties
ρ = 4.621 g/cm³
formation energy = 3.50 eV/f.u.
V = 10.021 Å³/atom
final energy = -6.636 eV/atom

The structure in CIF format:
```
data_PmB5C2
_chemical_formula_sum 'Pm2 B10 C4'
_cell_length_a 4.514
_cell_length_b 5.352
_cell_length_c 6.636
_cell_angle_alpha 90.00
_cell_angle_beta 90.00
_cell_angle_gamma 90.00
_space_group_name_H-M_alt 'I m m m'
_space_group_IT_number 71
_space_group_name_Hall '-I 2 2'
loop_
_atom_site_label
_atom_site_type_symbol
_atom_site_fract_x
_atom_site_fract_y
_atom_site_fract_z
Pm1 Pm 0.000 0.000 0.000
B1 B 0.000 0.500 0.500
B2 B 0.206 0.000 0.375
C1 C 0.000 0.500 0.266
```

***

Pm2B2C3: relaxed, PBE.

## Properties
ρ = 5.491 g/cm³
formation energy = -1.76 eV/f.u.
V = 15.018 Å³/atom
final energy = -7.470 eV/atom

The structure in CIF format:
```
data_Pm2B2C3
_chemical_formula_sum 'Pm4 B4 C6'
_cell_length_a 14.212
_cell_length_b 3.776
_cell_length_c 3.932
_cell_angle_alpha 90.00
_cell_angle_beta 94.87
_cell_angle_gamma 90.00
_space_group_name_H-M_alt 'C 1 2/m 1'
_space_group_IT_number 12
loop_
_space_group_symop_operation_xyz
'x,y,z'
'-x,-y,-z'
'-x,y,-z'
'x,-y,z'
'x+1/2,y+1/2,z'
'-x+1/2,-y+1/2,-z'
'-x+1/2,y+1/2,-z'
'x+1/2,-y+1/2,z'
loop_
_atom_site_label
_atom_site_type_symbol
_atom_site_fract_x
_atom_site_fract_y
_atom_site_fract_z
Pm1 Pm 0.153 0.000 0.251
B1 B 0.079 0.500 0.799
C1 C 0.000 0.500 0.000
C2 C 0.174 0.500 0.713
```

***

no.,density of states at the Fermi level (states/eV/f.u.)
1,1.63
2,5.60
3,1.24
4,1.89
5,3.36
6,0.94
7,1.30
8,0.62
9,3.57
10,1.31
11,0.75